No. 1
VASP calculation (PBE-GGA) on UPa2Au after structural relaxation. Values from VASP.

E_tot	-8.56	eV/atom
mass density	16.55	g cm⁻³
DFT formation energy	-170	meV/atom
N(E_F)	8.2	states/eV/cell
ΔE to the lowest computed polymorph	0	meV per atom

```
&SYSTEM
  ibrav = 0, nat = 4, ntyp = 3
/
ATOMIC_SPECIES
U 238.03 U.upf
Pa 231.04 Pa.upf
Au 196.97 Au.upf
ATOMIC_POSITIONS angstrom
U 0.000 0.000 0.000
Pa 0.000 2.671 1.577
Pa 2.671 0.000 1.577
Au 2.671 2.671 0.000
CELL_PARAMETERS angstrom
5.342 0.000 0.000
0.000 5.342 0.000
0.000 0.000 3.153
```

=====

No. 2
VASP calculation (PBE-GGA) on Cd2Sn2Hg3 after structural relaxation. Values from VASP.

E_tot	-1.48	eV/atom
mass density	9.69	g cm⁻³
DFT formation energy	57	meV/atom
N(E_F)	2.3	states/eV/cell
ΔE to the lowest computed polymorph	0	meV per atom

```
&SYSTEM
  ibrav = 0, nat = 7, ntyp = 3
/
ATOMIC_SPECIES
Cd 112.41 Cd.upf
Sn 118.71 Sn.upf
Hg 200.59 Hg.upf
ATOMIC_POSITIONS angstrom
Cd 1.606 0.000 2.218
Cd 12.895 0.000 4.564
Sn 6.875 0.000 0.596
Sn 7.626 0.000 6.186
Hg -1.100 0.000 3.391
Hg 1.950 0.000 5.249
Hg 12.551 0.000 1.533
CELL_PARAMETERS angstrom
8.351 -1.610 0.000
8.351 1.610 0.000
-2.200 0.000 6.782
```

=====

No. 3
VASP calculation (PBE-GGA) on Li5Sn5Rh after structural relaxation. Values from VASP.

E_tot	-3.61	eV/atom
mass density	4.92	g cm⁻³
DFT formation energy	-252	meV/atom
N(E_F)	2.6	states/eV/cell

```
&SYSTEM
  ibrav = 0, nat = 11, ntyp = 3
/
ATOMIC_SPECIES
Li 6.94 Li.upf
Sn 118.71 Sn.upf
Rh 102.91 Rh.upf
ATOMIC_POSITIONS angstrom
Li 0.000 0.000 0.000
Li 4.664 0.000 1.657
Li 3.772 0.000 4.482
Li 11.965 0.000 1.101
Li 11.073 0.000 3.926
Sn 1.768 0.000 2.204
Sn 0.790 0.000 4.982
Sn 7.869 0.000 2.792
Sn 14.947 0.000 0.601
Sn 13.969 0.000 3.379
Rh -0.985 0.000 2.792
CELL_PARAMETERS angstrom
8.854 -2.497 0.000
8.854 2.497 0.000
-1.970 0.000 5.583
```

=====

No. 4
VASP calculation (PBE-GGA) on Na2MnI5 after structural relaxation. Values from VASP.

E_tot	-3.19	eV/atom
mass density	3.75	g cm⁻³
formation energy (no corrections)	-0.744	eV per atom
N(E_F)	2.8	states/eV/cell
ΔE to the lowest computed polymorph	17	meV per atom

```
&SYSTEM
  ibrav = 0, nat = 16, ntyp = 3
/
ATOMIC_SPECIES
Na 22.99 Na.upf
Mn 54.94 Mn.upf
I 126.90 I.upf
ATOMIC_POSITIONS angstrom
Na 3.176 4.809 7.997
Na 3.176 4.809 12.855
Na 3.176 -4.809 1.047
Na 3.176 -4.809 5.904
Mn 3.176 4.614 3.475
Mn 3.176 -4.614 10.426
I 3.176 6.535 1.619
I 3.176 6.535 5.331
I 3.176 2.873 10.426
I 3.176 2.689 1.526
I 3.176 2.689 5.424
I 3.176 -2.689 8.477
I 3.176 -2.689 12.375
I 3.176 -2.873 3.475
I 3.176 -6.535 8.570
I 3.176 -6.535 12.282
CELL_PARAMETERS angstrom
3.176 -7.385 0.000
3.176 7.385 0.000
0.000 0.000 13.902
```

=====

No. 5
VASP calculation (PBE-GGA) on Be2Bi after structural relaxation. Values from VASP.

E_tot	-3.53	eV/atom
mass density	7.00	g cm⁻³
DFT formation energy	244	meV/atom
N(E_F)	1.9	states/eV/cell
ΔE to the lowest computed polymorph	46	meV per atom

```
&SYSTEM
  ibrav = 0, nat = 6, ntyp = 2
/
ATOMIC_SPECIES
Be 9.01 Be.upf
Bi 208.98 Bi.upf
ATOMIC_POSITIONS angstrom
Be 0.000 0.000 0.000
Be 0.002 0.000 1.943
Be 2.060 0.000 1.056
Be 4.117 0.000 0.936
Bi 2.063 0.000 3.763
Bi 6.122 0.000 7.306
CELL_PARAMETERS angstrom
3.085 -1.778 0.000
3.085 1.778 0.000
-0.033 0.000 9.815
```

=====

No. 6
VASP calculation (PBE-GGA) on CaLu2Pa after structural relaxation. Values from VASP.

E_tot	-4.99	eV/atom
mass density	8.48	g cm⁻³
DFT formation energy	141	meV/atom
N(E_F)	5.5	states/eV/cell

```
&SYSTEM
  ibrav = 0, nat = 4, ntyp = 3
/
ATOMIC_SPECIES
Ca 40.08 Ca.upf
Lu 174.97 Lu.upf
Pa 231.04 Pa.upf
ATOMIC_POSITIONS angstrom
Ca 0.000 0.000 0.000
Lu 1.737 1.737 2.843
Lu 1.737 1.737 7.237
Pa 0.000 0.000 5.040
CELL_PARAMETERS angstrom
3.474 0.000 0.000
0.000 3.474 0.000
0.000 0.000 10.080
```

=====

No. 7
VASP calculation (PBE-GGA) on Cs2SrSmI6 after structural relaxation. Values from VASP.

E_tot	-3.18	eV/atom
mass density	4.12	g cm⁻³
formation energy (no corrections)	-1.437	eV per atom
N(E_F)	9.2	states/eV/cell

```
&SYSTEM
  ibrav = 0, nat = 20, ntyp = 4
/
ATOMIC_SPECIES
Cs 132.91 Cs.upf
Sr 87.62 Sr.upf
Sm 150.36 Sm.upf
I 126.90 I.upf
ATOMIC_POSITIONS angstrom
Cs 2.250 0.130 2.227
Cs 2.250 6.216 2.227
Cs 6.751 6.476 6.707
Cs 6.751 12.562 6.707
Sr 2.250 9.519 6.704
Sr 6.751 3.173 2.231
Sm 2.250 3.173 6.697
Sm 6.751 9.519 2.237
I 0.056 3.173 4.489
I 0.052 3.173 8.901
I 2.250 0.057 6.702
I 2.250 6.288 6.702
I 4.445 3.173 4.489
I 4.449 3.173 8.901
I 4.552 9.519 0.033
I 4.556 9.519 4.445
I 6.751 6.403 2.232
I 6.751 12.634 2.232
I 8.949 9.519 0.033
I 8.945 9.519 4.445
CELL_PARAMETERS angstrom
9.001 0.000 0.000
0.000 12.692 0.000
0.000 0.000 8.934
```

=====

No. 8
VASP calculation (PBE-GGA) on UTaIr after structural relaxation. Values from VASP.

E_tot	-10.83	eV/atom
mass density	17.04	g cm⁻³
DFT formation energy	-162	meV/atom
N(E_F)	8.5	states/eV/cell

```
&SYSTEM
  ibrav = 0, nat = 6, ntyp = 3
/
ATOMIC_SPECIES
U 238.03 U.upf
Ta 180.95 Ta.upf
Ir 192.22 Ir.upf
ATOMIC_POSITIONS angstrom
U 0.000 0.000 2.957
U 0.000 0.000 17.550
Ta 0.000 0.000 6.009
Ta 0.000 0.000 14.498
Ir 0.000 0.000 8.607
Ir 0.000 0.000 11.900
CELL_PARAMETERS angstrom
2.243 1.295 6.836
-2.243 1.295 6.836
0.000 -2.590 6.836
```

=====

One value per record, in order, for total moment: 0.00 0.00 0.00 4.00 0.00 0.00 0.99 0.61 μB/f.u..